1.
First-principles (PBE) data for Ca3AlTl after structural relaxation, as listed in the Alexandria database.

Computed properties:
For the formation energy, the calculation gives 0.100 eV/atom. The value obtained for the energy is -11.62 eV for the cell shown. The energy above the lowest structure with this stoichiometry comes out at 357 meV/atom. The theoretical density comes out at 2.91 g/cm3.

abc: 5.8515 5.8515 5.8515
angles: 90.00 90.00 90.00
Last column: nearest neighbours and their distance in Å.
Atoms (fractional coordinates):
Ca1 0.0000 0.0000 0.5000  2 Al 2.93
Ca2 0.0000 0.5000 0.0000  2 Al 2.93
Ca3 0.5000 0.0000 0.0000  2 Al 2.93
Al1 0.0000 0.0000 0.0000  6 Ca 2.93
Tl1 0.5000 0.5000 0.5000  12 Ca 4.14

---

2.
First-principles (PBE) data for Ca2AlTl after structural relaxation, as listed in the Alexandria database.

Computed properties:
For the formation energy, the calculation gives -0.011 eV/atom. The value obtained for the energy is -40.62 eV for the cell shown. The energy above the lowest structure with this stoichiometry comes out at 289 meV/atom. The theoretical density comes out at 4.54 g/cm3.

abc: 7.6965 7.6965 7.6965
angles: 90.00 90.00 90.00
Last column: nearest neighbours and their distance in Å.
Atoms (fractional coordinates):
Ca1 0.0000 0.0000 0.0000  4 Al 3.33, 4 Ca 3.33
Ca2 0.0000 0.5000 0.5000  4 Al 3.33, 4 Ca 3.33
Ca3 0.2500 0.2500 0.2500  4 Ca 3.33, 4 Tl 3.33
Ca4 0.2500 0.7500 0.7500  4 Tl 3.33, 4 Ca 3.33
Ca5 0.5000 0.0000 0.5000  4 Al 3.33, 4 Ca 3.33
Ca6 0.5000 0.5000 0.0000  4 Al 3.33, 4 Ca 3.33
Ca7 0.7500 0.2500 0.7500  4 Tl 3.33, 4 Ca 3.33
Ca8 0.7500 0.7500 0.2500  4 Tl 3.33, 4 Ca 3.33
Al1 0.2500 0.2500 0.7500  4 Tl 3.33, 4 Ca 3.33
Al2 0.2500 0.7500 0.2500  4 Tl 3.33, 4 Ca 3.33
Al3 0.7500 0.2500 0.2500  4 Tl 3.33, 4 Ca 3.33
Al4 0.7500 0.7500 0.7500  4 Tl 3.33, 4 Ca 3.33
Tl1 0.0000 0.0000 0.5000  4 Ca 3.33, 4 Al 3.33
Tl2 0.0000 0.5000 0.0000  4 Ca 3.33, 4 Al 3.33
Tl3 0.5000 0.0000 0.0000  4 Ca 3.33, 4 Al 3.33
Tl4 0.5000 0.5000 0.5000  4 Ca 3.33, 4 Al 3.33

---

3.
First-principles (PBE) data for Ca2AlTl2 after structural relaxation, as listed in the Alexandria database.

Computed properties:
For the formation energy, the calculation gives -0.048 eV/atom. The value obtained for the energy is -25.44 eV for the cell shown. The energy above the lowest structure with this stoichiometry comes out at 165 meV/atom. The theoretical density comes out at 5.70 g/cm3.

abc: 8.5642 8.5642 4.1007
angles: 90.00 90.00 90.00
Last column: nearest neighbours and their distance in Å.
Atoms (fractional coordinates):
Ca1 0.1556 0.3444 0.0000  6 Tl 3.15-3.31, 2 Al 3.24
Ca2 0.3444 0.8444 0.0000  6 Tl 3.15-3.31, 2 Al 3.24
Ca3 0.6556 0.1556 0.0000  6 Tl 3.15-3.31, 2 Al 3.24
Ca4 0.8444 0.6556 0.0000  6 Tl 3.15-3.31, 2 Al 3.24
Al1 0.0000 0.0000 0.0000  4 Ca 3.24
Al2 0.5000 0.5000 0.0000  4 Ca 3.24
Tl1 0.1469 0.6469 0.5000  6 Ca 3.15-3.31
Tl2 0.3531 0.1469 0.5000  6 Ca 3.15-3.31
Tl3 0.6469 0.8531 0.5000  6 Ca 3.15-3.31
Tl4 0.8531 0.3531 0.5000  6 Ca 3.15-3.31

---

4.
First-principles (PBE) data for CaAlTl2 after structural relaxation, as listed in the Alexandria database.

Computed properties:
For the formation energy, the calculation gives -0.099 eV/atom. The value obtained for the energy is -21.75 eV for the cell shown. The theoretical density comes out at 7.36 g/cm3.

abc: 9.7909 3.7140 6.0552
angles: 90.00 102.85 90.00
Last column: nearest neighbours and their distance in Å.
Atoms (fractional coordinates):
Ca1 0.0000 0.0000 0.0000  6 Tl 3.18-3.30, 4 Al 3.55
Ca2 0.5000 0.5000 0.0000  6 Tl 3.18-3.30, 4 Al 3.55
Al1 0.0000 0.5000 0.5000  6 Tl 3.06-3.14
Al2 0.5000 0.0000 0.5000  6 Tl 3.06-3.14
Tl1 0.2396 0.0000 0.7225  3 Al 3.06-3.14, 3 Ca 3.18-3.30, 2 Tl 3.32
Tl2 0.2604 0.5000 0.2775  3 Al 3.06-3.14, 3 Ca 3.18-3.30, 2 Tl 3.32
Tl3 0.7396 0.5000 0.7225  3 Al 3.06-3.14, 3 Ca 3.18-3.30, 2 Tl 3.32
Tl4 0.7604 0.0000 0.2775  3 Al 3.06-3.14, 3 Ca 3.18-3.30, 2 Tl 3.32

---

5.
First-principles (PBE) data for Ca2AlTl after structural relaxation, as listed in the Alexandria database.

Computed properties:
For the formation energy, the calculation gives -0.072 eV/atom. The value obtained for the energy is -10.40 eV for the cell shown. The energy above the lowest structure with this stoichiometry comes out at 228 meV/atom. The theoretical density comes out at 4.35 g/cm3.

abc: 3.7975 4.5481 6.8916
angles: 90.00 90.00 90.00
Last column: nearest neighbours and their distance in Å.
Atoms (fractional coordinates):
Ca1 0.0000 0.0000 0.0000  1 Tl 3.12, 4 Al 3.28
Ca2 0.5000 0.5000 0.3298  1 Al 3.21, 4 Tl 3.32
Al1 0.5000 0.5000 0.7955  5 Ca 3.21-3.28, 4 Tl 3.42
Tl1 0.0000 0.0000 0.5469  5 Ca 3.12-3.32, 4 Al 3.42

---

6.
First-principles (PBE) data for Ca6AlTl3 after structural relaxation, as listed in the Alexandria database.

Computed properties:
For the formation energy, the calculation gives -0.309 eV/atom. The value obtained for the energy is -51.88 eV for the cell shown. The theoretical density comes out at 4.85 g/cm3.

abc: 9.4714 5.5324 12.1969
angles: 90.00 109.20 90.00
Last column: nearest neighbours and their distance in Å.
Atoms (fractional coordinates):
Ca1 0.0225 0.2500 0.4110  7 Tl 3.25-3.57, 2 Ca 3.63
Ca2 0.1485 0.7500 0.1712  1 Al 3.13, 5 Tl 3.23-3.44
Ca3 0.2662 0.2500 0.9998  4 Tl 3.27-3.63, 3 Al 3.30-3.43, 1 Ca 3.55
Ca4 0.3518 0.7500 0.8238  3 Tl 3.27-3.49, 3 Al 3.31-3.34, 1 Ca 3.55
Ca5 0.3602 0.2500 0.3229  8 Ca 3.50-3.74, 4 Tl 3.53-3.78
Ca6 0.3995 0.2500 0.6210  1 Al 3.09, 3 Tl 3.20-3.32
Ca7 0.6005 0.7500 0.3790  1 Al 3.09, 3 Tl 3.20-3.32
Ca8 0.6398 0.7500 0.6771  8 Ca 3.50-3.74, 4 Tl 3.53-3.78
Ca9 0.6482 0.2500 0.1762  3 Tl 3.27-3.49, 3 Al 3.31-3.34, 1 Ca 3.55
Ca10 0.7338 0.7500 0.0002  4 Tl 3.27-3.63, 3 Al 3.30-3.43, 1 Ca 3.55
Ca11 0.8515 0.2500 0.8288  1 Al 3.13, 5 Tl 3.23-3.44
Ca12 0.9775 0.7500 0.5890  7 Tl 3.25-3.57, 2 Ca 3.63
Al1 0.4461 0.7500 0.1129  8 Ca 3.09-3.43
Al2 0.5539 0.2500 0.8871  8 Ca 3.09-3.43
Tl1 0.0382 0.7500 0.8811  7 Ca 3.23-3.51
Tl2 0.1226 0.2500 0.7167  8 Ca 3.20-3.53
Tl3 0.2745 0.7500 0.4697  10 Ca 3.32-3.61, 1 Tl 3.70
Tl4 0.7255 0.2500 0.5303  10 Ca 3.32-3.61, 1 Tl 3.70
Tl5 0.8774 0.7500 0.2833  8 Ca 3.20-3.53
Tl6 0.9618 0.2500 0.1189  7 Ca 3.23-3.51